[1]
The following is a DFT calculation (PBE-GGA) of crystalline Rb2Sr2Ni at its relaxed geometry.

Cell lengths 8.1418, 8.1418, 7.7773 Å; angles 90.00, 90.00, 90.00 degrees
Space group P4/mbm (No. 127)
Inequivalent atoms, fractional coordinates:
Rb 0.1856 0.3144 0.0000 x4
Sr 0.1876 0.6876 0.5000 x4
Ni 0.0000 0.0000 0.5000 x2

---

[2]
The following is a DFT calculation (PBE-GGA) of crystalline RbSrNi3 at its relaxed geometry.

Cell lengths 5.3060, 5.3060, 5.3060 Å; angles 90.00, 90.00, 90.00 degrees
Space group Pm-3m (No. 221)
Inequivalent atoms, fractional coordinates:
Rb 0.0000 0.0000 0.0000 x1
Sr 0.5000 0.5000 0.5000 x1
Ni 0.0000 0.5000 0.5000 x3

---

[3]
The following is a DFT calculation (PBE-GGA) of crystalline Rb2SrNi at its relaxed geometry.

Cell lengths 12.6364, 12.6364, 5.6363 Å; angles 90.00, 90.00, 90.00 degrees
Space group I-42d (No. 122)
Inequivalent atoms, fractional coordinates:
Rb 0.1080 0.7500 0.1250 x8
Sr 0.0000 0.0000 0.5000 x4
Ni 0.0000 0.0000 0.0000 x4

---

[4]
The following is a DFT calculation (PBE-GGA) of crystalline RbSrTi2Ni at its relaxed geometry.

Cell lengths 5.9025, 5.9025, 5.2307 Å; angles 90.00, 90.00, 90.00 degrees
Space group P4/mmm (No. 123)
Inequivalent atoms, fractional coordinates:
Rb 0.0000 0.0000 0.0000 x1
Sr 0.5000 0.5000 0.5000 x1
Ti 0.0000 0.5000 0.5000 x2
Ni 0.5000 0.5000 0.0000 x1

---

[5]
The following is a DFT calculation (PBE-GGA) of crystalline RbSr2TlNi at its relaxed geometry.

Cell lengths 5.9706, 5.9706, 5.2507 Å; angles 90.00, 90.00, 90.00 degrees
Space group P4/mmm (No. 123)
Inequivalent atoms, fractional coordinates:
Rb 0.0000 0.0000 0.0000 x1
Sr 0.0000 0.5000 0.5000 x2
Tl 0.5000 0.5000 0.0000 x1
Ni 0.5000 0.5000 0.5000 x1

---

[6]
The following is a DFT calculation (PBE-GGA) of crystalline RbSrTl2Ni at its relaxed geometry.

Cell lengths 5.3536, 5.3536, 5.5778 Å; angles 90.00, 90.00, 90.00 degrees
Space group P4/mmm (No. 123)
Inequivalent atoms, fractional coordinates:
Rb 0.0000 0.0000 0.0000 x1
Sr 0.5000 0.5000 0.0000 x1
Tl 0.0000 0.5000 0.5000 x2
Ni 0.5000 0.5000 0.5000 x1

---

[7]
The following is a DFT calculation (PBE-GGA) of crystalline Rb3TaNi at its relaxed geometry.

Cell lengths 6.2987, 6.2987, 6.2987 Å; angles 90.00, 90.00, 90.00 degrees
Space group Pm-3m (No. 221)
Inequivalent atoms, fractional coordinates:
Rb 0.0000 0.0000 0.5000 x3
Ta 0.5000 0.5000 0.5000 x1
Ni 0.0000 0.0000 0.0000 x1

---

[8]
The following is a DFT calculation (PBE-GGA) of crystalline RbTaNi3 at its relaxed geometry.

Cell lengths 4.7969, 4.7969, 4.7969 Å; angles 90.00, 90.00, 90.00 degrees
Space group Pm-3m (No. 221)
Inequivalent atoms, fractional coordinates:
Rb 0.0000 0.0000 0.0000 x1
Ta 0.5000 0.5000 0.5000 x1
Ni 0.0000 0.5000 0.5000 x3

---

[9]
The following is a DFT calculation (PBE-GGA) of crystalline Rb2TaNi at its relaxed geometry.

Cell lengths 12.9408, 12.9408, 4.6348 Å; angles 90.00, 90.00, 90.00 degrees
Space group I-42d (No. 122)
Inequivalent atoms, fractional coordinates:
Rb 0.0799 0.2500 0.1250 x8
Ta 0.0000 0.0000 0.5000 x4
Ni 0.0000 0.0000 0.0000 x4

---

[10]
The following is a DFT calculation (PBE-GGA) of crystalline RbTaNi3 at its relaxed geometry.

Cell lengths 4.5307, 4.5307, 4.5307 Å; angles 90.00, 90.00, 90.00 degrees
Space group Pm-3m (No. 221)
Inequivalent atoms, fractional coordinates:
Rb 0.0000 0.0000 0.0000 x1
Ta 0.5000 0.5000 0.5000 x1
Ni 0.0000 0.0000 0.5000 x3

---

[11]
The following is a DFT calculation (PBE-GGA) of crystalline Rb2TaNi at its relaxed geometry.

Cell lengths 8.3662, 8.3662, 8.3662 Å; angles 90.00, 90.00, 90.00 degrees
Space group Fm-3m (No. 225)
Inequivalent atoms, fractional coordinates:
Rb 0.2500 0.2500 0.2500 x8
Ta 0.0000 0.0000 0.0000 x4
Ni 0.0000 0.0000 0.5000 x4

---

[12]
The following is a DFT calculation (PBE-GGA) of crystalline RbTa2Ni at its relaxed geometry.

Cell lengths 6.5954, 6.5954, 6.5954 Å; angles 90.00, 90.00, 90.00 degrees
Space group Fm-3m (No. 225)
Inequivalent atoms, fractional coordinates:
Rb 0.0000 0.0000 0.0000 x4
Ta 0.2500 0.2500 0.2500 x8
Ni 0.0000 0.0000 0.5000 x4

---

[13]
The following is a DFT calculation (PBE-GGA) of crystalline RbTa2Ni at its relaxed geometry.

Cell lengths 5.3332, 5.3332, 16.6688 Å; angles 90.00, 90.00, 90.00 degrees
Space group I4_1/amd (No. 141, origin choice 2)
Inequivalent atoms, fractional coordinates:
Rb 0.0000 0.2500 0.3750 x4
Ta 0.0000 0.0000 0.0000 x8
Ni 0.0000 0.2500 0.8750 x4

---

[14]
The following is a DFT calculation (PBE-GGA) of crystalline RbTcNi at its relaxed geometry.

Cell lengths 4.1814, 4.1821, 12.0420 Å; angles 89.83, 81.87, 60.01 degrees
Space group P-1 (No. 2)
Inequivalent atoms, fractional coordinates:
Rb 0.0081 0.2426 0.2974 x2
Tc 0.1682 0.1659 0.9972 x2
Ni 0.4456 0.5262 0.1018 x2

---

[15]
The following is a DFT calculation (PBE-GGA) of crystalline RbTcNi at its relaxed geometry.

Cell lengths 3.9355, 3.9355, 5.9480 Å; angles 90.00, 90.00, 120.00 degrees
Space group P-6m2 (No. 187)
Inequivalent atoms, fractional coordinates:
Rb 0.0000 0.0000 0.0000 x1
Tc 0.3333 0.6667 0.5000 x1
Ni 0.6667 0.3333 0.5000 x1

---

[16]
The following is a DFT calculation (PBE-GGA) of crystalline RbTcNi at its relaxed geometry.

Cell lengths 4.5792, 4.5859, 11.1353 Å; angles 91.25, 99.38, 115.32 degrees
Space group P1 (No. 1)
Inequivalent atoms, fractional coordinates:
Rb 0.0000 0.0000 0.0000 x1
Rb 0.2145 0.5786 0.5723 x1
Tc 0.0849 0.5273 0.2550 x1
Tc 0.5895 0.0283 0.2591 x1
Ni 0.1291 0.0486 0.3376 x1
Ni 0.6265 0.5493 0.3371 x1

---

[17]
The following is a DFT calculation (PBE-GGA) of crystalline RbTcNi2 at its relaxed geometry.

Cell lengths 7.3242, 7.3242, 7.5032 Å; angles 90.00, 90.00, 90.00 degrees
Space group I-42d (No. 122)
Inequivalent atoms, fractional coordinates:
Rb 0.0000 0.0000 0.0000 x4
Tc 0.0000 0.0000 0.5000 x4
Ni 0.1335 0.7500 0.6250 x8

---

[18]
The following is a DFT calculation (PBE-GGA) of crystalline RbTcNi at its relaxed geometry.

Cell lengths 4.3865, 13.3892, 4.8685 Å; angles 90.00, 90.00, 90.00 degrees
Space group Cmcm (No. 63)
Inequivalent atoms, fractional coordinates:
Rb 0.0000 0.2071 0.2500 x4
Tc 0.0000 0.5000 0.0000 x4
Ni 0.0000 0.0259 0.7500 x4

---

[19]
The following is a DFT calculation (PBE-GGA) of crystalline RbTc2Ni at its relaxed geometry.

Cell lengths 6.3944, 6.3944, 6.3944 Å; angles 90.00, 90.00, 90.00 degrees
Space group Fm-3m (No. 225)
Inequivalent atoms, fractional coordinates:
Rb 0.0000 0.0000 0.0000 x4
Tc 0.2500 0.2500 0.2500 x8
Ni 0.0000 0.0000 0.5000 x4

---

[20]
The following is a DFT calculation (PBE-GGA) of crystalline RbTcNi at its relaxed geometry.

Cell lengths 3.9934, 3.9934, 11.7997 Å; angles 90.00, 90.00, 120.00 degrees
Space group P6_3/mmc (No. 194)
Inequivalent atoms, fractional coordinates:
Rb 0.0000 0.0000 0.0000 x2
Tc 0.3333 0.6667 0.2500 x2
Ni 0.3333 0.6667 0.7500 x2

---

Energy of formation from the pure elements? In order: 145; 677; 192; 875; 8; 0; 809; 519; 514; 1162; 782; 635; 627; 133; 332; 175; 471; 203; 731; 338 kJ/mol of formula units.
Ρ? In order: 2.61; 3.88; 2.34; 2.98; 4.65; 6.65; 3.30; 6.66; 3.51; 7.90; 4.66; 11.72; 7.09; 4.47; 5.04; 3.88; 4.96; 5.63; 8.64; 4.94 g/cm³.